1.
A plane-wave DFT calculation with PBE was carried out for a relaxed structure of NdTmZn6.

## Properties
**Electronic total energy**: -19.0 eV per cell
**Formation energy from the elements**: -26.7 kJ/mol of atoms
**SG**: No. 123

abc: 4.697 4.697 6.685
angles: 90.00 90.00 90.00
Atoms (fractional coordinates):
Nd1 0.000 0.000 0.000
Tm1 0.500 0.500 0.500
Zn1 0.000 0.000 0.500
Zn2 0.000 0.500 0.262
Zn3 0.000 0.500 0.738
Zn4 0.500 0.000 0.262
Zn5 0.500 0.000 0.738
Zn6 0.500 0.500 0.000

=====

2.
A plane-wave DFT calculation with PBE was carried out for a relaxed structure of NdTmZr.

## Properties
**Electronic total energy**: -15.4 eV per cell
**Formation energy from the elements**: 75.9 kJ/mol of atoms
**SG**: No. 216
**Energy above the lowest structure with this stoichiometry**: 0 kJ/mol of formula units

abc: 5.234 5.234 5.234
angles: 60.00 60.00 60.00
Atoms (fractional coordinates):
Nd1 0.000 0.000 0.000
Tm1 0.500 0.500 0.500
Zr1 0.250 0.250 0.250

=====

3.
A plane-wave DFT calculation with PBE was carried out for a relaxed structure of Nd2UZn3.

## Properties
**Electronic total energy**: -22.6 eV per cell
**Formation energy from the elements**: 32.6 kJ/mol of atoms
**SG**: No. 191

abc: 5.817 5.817 5.100
angles: 90.00 90.00 120.00
Atoms (fractional coordinates):
Nd1 0.333 0.667 0.000
Nd2 0.667 0.333 0.000
U1 0.000 0.000 0.000
Zn1 0.000 0.500 0.500
Zn2 0.500 0.000 0.500
Zn3 0.500 0.500 0.500

=====

4.
A plane-wave DFT calculation with PBE was carried out for a relaxed structure of NdUZn.

## Properties
**Electronic total energy**: -14.5 eV per cell
**Formation energy from the elements**: 91.8 kJ/mol of atoms
**SG**: No. 216
**Energy above the lowest structure with this stoichiometry**: 0 kJ/mol of formula units

abc: 4.888 4.888 4.888
angles: 60.00 60.00 60.00
Atoms (fractional coordinates):
Nd1 0.000 0.000 0.000
U1 0.250 0.250 0.250
Zn1 0.500 0.500 0.500

=====

5.
A plane-wave DFT calculation with PBE was carried out for a relaxed structure of NdZrU.

## Properties
**Electronic total energy**: -20.8 eV per cell
**Formation energy from the elements**: 121.8 kJ/mol of atoms
**SG**: No. 216
**Energy above the lowest structure with this stoichiometry**: 0 kJ/mol of formula units

abc: 4.999 4.999 4.999
angles: 60.00 60.00 60.00
Atoms (fractional coordinates):
Nd1 0.000 0.000 0.000
Zr1 0.500 0.500 0.500
U1 0.250 0.250 0.250

=====

6.
A plane-wave DFT calculation with PBE was carried out for a relaxed structure of NdW2.

## Properties
**Electronic total energy**: -59.4 eV per cell
**Formation energy from the elements**: 31.5 kJ/mol of atoms
**SG**: No. 227

abc: 5.613 5.613 5.613
angles: 60.00 60.00 60.00
Atoms (fractional coordinates):
Nd1 0.125 0.125 0.125
Nd2 0.875 0.875 0.875
W1 0.000 0.500 0.500
W2 0.500 0.000 0.500
W3 0.500 0.500 0.000
W4 0.500 0.500 0.500

=====

7.
A plane-wave DFT calculation with PBE was carried out for a relaxed structure of NdW2.

## Properties
**Electronic total energy**: -32.4 eV per cell
**Formation energy from the elements**: 466.1 kJ/mol of atoms
**SG**: No. 227

abc: 9.588 9.588 9.588
angles: 60.00 60.00 60.00
Atoms (fractional coordinates):
Nd1 0.125 0.125 0.125
Nd2 0.875 0.875 0.875
W1 0.000 0.000 0.000
W2 0.000 0.000 0.500
W3 0.000 0.500 0.000
W4 0.500 0.000 0.000

=====

8.
A plane-wave DFT calculation with PBE was carried out for a relaxed structure of NdZnW.

## Properties
**Electronic total energy**: -16.3 eV per cell
**Formation energy from the elements**: 87.7 kJ/mol of atoms
**SG**: No. 216

abc: 4.587 4.587 4.587
angles: 60.00 60.00 60.00
Atoms (fractional coordinates):
Nd1 0.000 0.000 0.000
Zn1 0.250 0.250 0.250
W1 0.500 0.500 0.500

=====

Number 1 is which compound? NdTmZn6